VASP calculation (PBE+U) on TiMoHF2 after structural relaxation.

Values from the calculation:
Final energy in eV per cell: -23.2

CIF file:
```
data_TiMoHF2
_space_group_name_H-M_alt 'P 4/m m m'
_space_group_IT_number 123
_space_group_name_Hall '-P 4 2'
_cell_length_a 4.062
_cell_length_b 4.062
_cell_length_c 5.073
_cell_angle_alpha 90.00
_cell_angle_beta 90.00
_cell_angle_gamma 90.00
loop_
_atom_site_label
_atom_site_fract_x
_atom_site_fract_y
_atom_site_fract_z
Ti1 0.000 0.000 0.000
Mo1 0.000 0.000 0.500
H1 0.500 0.500 0.000
F1 0.000 0.500 0.500
```